Entry 1:
This record from the Alexandria database describes CsKBeBr4 after structural relaxation. The functional is PBE.

Computed properties:
ΔE_f (raw) = -1.502 eV/atom
SG = No. 11
V = 497.66 Å³ per cell

abc: 6.963 7.484 10.192
angles: 90.00 110.44 90.00
Fractional positions:
Cs1 0.676 0.750 0.905
Cs2 0.324 0.250 0.095
K1 0.796 0.750 0.468
K2 0.204 0.250 0.532
Be1 0.178 0.750 0.291
Be2 0.822 0.250 0.709
Br1 0.021 0.489 0.761
Br2 0.979 0.989 0.239
Br3 0.979 0.511 0.239
Br4 0.021 0.011 0.761
Br5 0.388 0.750 0.173
Br6 0.612 0.250 0.827
Br7 0.343 0.750 0.520
Br8 0.657 0.250 0.480


Entry 2:
This record from the Alexandria database describes Ca3CuSi after structural relaxation. The functional is PBE.

Computed properties:
ΔE_f (raw) = 0.104 eV/atom
SG = No. 221
relative energy among the computed polymorphs = 0.0 meV per atom
V = 177.62 Å³ per cell

abc: 5.621 5.621 5.621
angles: 90.00 90.00 90.00
Fractional positions:
Ca1 0.000 0.500 0.000
Ca2 0.000 0.000 0.500
Ca3 0.500 0.000 0.000
Si1 0.000 0.000 0.000
Cu1 0.500 0.500 0.500


Entry 3:
This record from the Alexandria database describes Cs3B2S4 after structural relaxation. The functional is PBE.

Computed properties:
ΔE_f (raw) = -0.796 eV/atom
SG = No. 15
relative energy among the computed polymorphs = 0.0 meV per atom
V = 633.00 Å³ per cell

abc: 10.337 8.076 8.076
angles: 75.51 78.89 78.89
Fractional positions:
Cs1 0.836 0.011 0.299
Cs2 0.664 0.701 0.989
Cs3 0.164 0.989 0.701
Cs4 0.336 0.299 0.011
Cs5 0.250 0.556 0.444
Cs6 0.750 0.444 0.556
B1 0.503 0.150 0.408
B2 0.997 0.592 0.850
B3 0.497 0.850 0.592
B4 0.003 0.408 0.150
S1 0.490 0.940 0.355
S2 0.010 0.645 0.060
S3 0.510 0.060 0.645
S4 0.990 0.355 0.940
S5 0.057 0.269 0.342
S6 0.443 0.658 0.731
S7 0.943 0.731 0.658
S8 0.557 0.342 0.269


The highest ΔE_f (raw) belongs to which entry?
Ca3CuSi


Which formula does entry 2 have?
Ca3CuSi


Which of these has the highest V?
Cs3B2S4